# PBE Pm8ScTl6, optimized geometry
data_Pm8ScTl6
_space_group_name_H-M_alt 'P 1'
_space_group_IT_number 1
_space_group_name_Hall 'P 1'
_cell_length_a 9.2044
_cell_length_b 9.2044
_cell_length_c 8.4746
_cell_angle_alpha 57.11
_cell_angle_beta 57.11
_cell_angle_gamma 60.00
loop_
_atom_site_label
_atom_site_type_symbol
_atom_site_fract_x
_atom_site_fract_y
_atom_site_fract_z
Pm1 Pm 0.5492 0.2268 0.3337
Pm2 Pm 0.7732 0.1097 0.6663
Pm3 Pm 0.1097 0.4508 0.6663
Pm4 Pm 0.6643 0.6643 0.0070
Pm5 Pm 0.3357 0.3357 0.9930
Pm6 Pm 0.8903 0.5492 0.3337
Pm7 Pm 0.2268 0.8903 0.3337
Pm8 Pm 0.4508 0.7732 0.6663
Sc1 Sc 0.0000 0.0000 0.0000
Tl1 Tl 0.3770 0.0577 0.8254
Tl2 Tl 0.9423 0.2601 0.1746
Tl3 Tl 0.2601 0.6230 0.1746
Tl4 Tl 0.7399 0.3770 0.8254
Tl5 Tl 0.0577 0.7399 0.8254
Tl6 Tl 0.6230 0.9423 0.1746
# Uncorrected energy   -4.050 eV/atom
# Calculated formation energy   -2.22 eV per formula unit
# Calculated density   8335 kg/m3